1.
Material: LiTa2Mo
Method: DFT, PBE
State: optimized geometry

Cell and atoms, written as CIF:
```
data_LiTa2Mo
_chemical_formula_sum 'Li2 Ta4 Mo2'
_cell_length_a 3.317
_cell_length_b 4.470
_cell_length_c 8.963
_cell_angle_alpha 90.00
_cell_angle_beta 90.00
_cell_angle_gamma 90.00
_space_group_name_H-M_alt 'I m m 2'
_space_group_IT_number 44
loop_
_space_group_symop_operation_xyz
'x,y,z'
'-x,-y,z'
'-x,y,z'
'x,-y,z'
'x+1/2,y+1/2,z+1/2'
'-x+1/2,-y+1/2,z+1/2'
'-x+1/2,y+1/2,z+1/2'
'x+1/2,-y+1/2,z+1/2'
loop_
_atom_site_label
_atom_site_type_symbol
_atom_site_fract_x
_atom_site_fract_y
_atom_site_fract_z
Li1 Li 0.000 0.000 0.000
Ta1 Ta 0.000 0.000 0.524
Ta2 Ta 0.000 0.500 0.757
Mo1 Mo 0.000 0.500 0.257
```

total DFT energy (no corrections) = -8.794 eV per atom
magnetic moment = 0.0000 μB/atom
calculated volume = 132.88 Å³/cell

2.
Material: LiTa2Mo
Method: DFT, PBE
State: optimized geometry

Cell and atoms, written as CIF:
```
data_LiTa2Mo
_chemical_formula_sum 'Li1 Ta2 Mo1'
_cell_length_a 2.662
_cell_length_b 4.597
_cell_length_c 5.600
_cell_angle_alpha 90.00
_cell_angle_beta 90.00
_cell_angle_gamma 90.00
_space_group_name_H-M_alt 'P m m 2'
_space_group_IT_number 25
loop_
_space_group_symop_operation_xyz
'x,y,z'
'-x,-y,z'
'-x,y,z'
'x,-y,z'
loop_
_atom_site_label
_atom_site_type_symbol
_atom_site_fract_x
_atom_site_fract_y
_atom_site_fract_z
Li1 Li 0.000 0.000 0.000
Ta1 Ta 0.000 0.000 0.495
Ta2 Ta 0.500 0.500 0.749
Mo1 Mo 0.500 0.500 0.260
```

total DFT energy (no corrections) = -8.756 eV per atom
magnetic moment = 0.0000 μB/atom
calculated volume = 68.54 Å³/cell

3.
Material: LiTaMo4
Method: DFT, PBE
State: optimized geometry

Cell and atoms, written as CIF:
```
data_LiTaMo4
_chemical_formula_sum 'Li4 Ta4 Mo16'
_cell_length_a 7.420
_cell_length_b 7.420
_cell_length_c 7.420
_cell_angle_alpha 90.00
_cell_angle_beta 90.00
_cell_angle_gamma 90.00
_space_group_name_H-M_alt 'F -4 3 m'
_space_group_IT_number 216
_space_group_name_Hall 'F -4 2 3'
loop_
_atom_site_label
_atom_site_type_symbol
_atom_site_fract_x
_atom_site_fract_y
_atom_site_fract_z
Li1 Li 0.000 0.000 0.000
Ta1 Ta 0.250 0.250 0.250
Mo1 Mo 0.126 0.126 0.626
```

total DFT energy (no corrections) = -9.158 eV per atom
magnetic moment = 0.0000 μB/atom
calculated volume = 408.59 Å³/cell

4.
Material: Li2TaMo
Method: DFT, PBE
State: optimized geometry

Cell and atoms, written as CIF:
```
data_Li2TaMo
_chemical_formula_sum 'Li2 Ta1 Mo1'
_cell_length_a 3.326
_cell_length_b 3.326
_cell_length_c 6.324
_cell_angle_alpha 90.00
_cell_angle_beta 90.00
_cell_angle_gamma 90.00
_space_group_name_H-M_alt 'P 4 m m'
_space_group_IT_number 99
loop_
_space_group_symop_operation_xyz
'x,y,z'
'-y,x,z'
'-x,-y,z'
'y,-x,z'
'-x,y,z'
'y,x,z'
'x,-y,z'
'-y,-x,z'
loop_
_atom_site_label
_atom_site_type_symbol
_atom_site_fract_x
_atom_site_fract_y
_atom_site_fract_z
Li1 Li 0.000 0.000 0.000
Li2 Li 0.500 0.500 0.250
Ta1 Ta 0.500 0.500 0.705
Mo1 Mo 0.000 0.000 0.520
```

total DFT energy (no corrections) = -6.259 eV per atom
magnetic moment = 0.0000 μB/atom
calculated volume = 69.97 Å³/cell

5.
Material: Li2TaMo
Method: DFT, PBE
State: optimized geometry

Cell and atoms, written as CIF:
```
data_Li2TaMo
_chemical_formula_sum 'Li6 Ta3 Mo3'
_cell_length_a 2.7314
_cell_length_b 2.7314
_cell_length_c 30.8556
_cell_angle_alpha 90.00
_cell_angle_beta 90.00
_cell_angle_gamma 120.00
_space_group_name_H-M_alt 'R -3 m'
_space_group_IT_number 166
_space_group_name_Hall '-R 3 2"'
loop_
_atom_site_label
_atom_site_type_symbol
_atom_site_fract_x
_atom_site_fract_y
_atom_site_fract_z
Li1 Li 0.0000 0.0000 0.2475
Ta1 Ta 0.0000 0.0000 0.0000
Mo1 Mo 0.0000 0.0000 0.5000
```

total DFT energy (no corrections) = -6.177 eV per atom
magnetic moment = 0.0005 μB/atom
calculated volume = 199.36 Å³/cell

6.
Material: LiTa2Mo
Method: DFT, PBE
State: optimized geometry

Cell and atoms, written as CIF:
```
data_LiTa2Mo
_chemical_formula_sum 'Li2 Ta4 Mo2'
_cell_length_a 9.629
_cell_length_b 2.626
_cell_length_c 5.374
_cell_angle_alpha 90.00
_cell_angle_beta 94.44
_cell_angle_gamma 90.00
_space_group_name_H-M_alt 'C 1 m 1'
_space_group_IT_number 8
loop_
_space_group_symop_operation_xyz
'x,y,z'
'x,-y,z'
'x+1/2,y+1/2,z'
'x+1/2,-y+1/2,z'
loop_
_atom_site_label
_atom_site_type_symbol
_atom_site_fract_x
_atom_site_fract_y
_atom_site_fract_z
Li1 Li 0.000 0.000 0.000
Ta1 Ta 0.250 0.000 0.760
Ta2 Ta 0.497 0.000 0.493
Mo1 Mo 0.246 0.500 0.253
```

total DFT energy (no corrections) = -8.744 eV per atom
magnetic moment = 0.0000 μB/atom
calculated volume = 135.51 Å³/cell

7.
Material: LiTaMo2
Method: DFT, PBE
State: optimized geometry

Cell and atoms, written as CIF:
```
data_LiTaMo2
_chemical_formula_sum 'Li1 Ta1 Mo2'
_cell_length_a 4.303
_cell_length_b 4.303
_cell_length_c 3.385
_cell_angle_alpha 90.00
_cell_angle_beta 90.00
_cell_angle_gamma 90.00
_space_group_name_H-M_alt 'P 4/m m m'
_space_group_IT_number 123
_space_group_name_Hall '-P 4 2'
loop_
_atom_site_label
_atom_site_type_symbol
_atom_site_fract_x
_atom_site_fract_y
_atom_site_fract_z
Li1 Li 0.000 0.000 0.000
Ta1 Ta 0.500 0.500 0.000
Mo1 Mo 0.000 0.500 0.500
```

total DFT energy (no corrections) = -8.485 eV per atom
magnetic moment = 0.0000 μB/atom
calculated volume = 62.67 Å³/cell

8.
Material: LiTa2Mo
Method: DFT, PBE
State: optimized geometry

Cell and atoms, written as CIF:
```
data_LiTa2Mo
_chemical_formula_sum 'Li2 Ta4 Mo2'
_cell_length_a 3.184
_cell_length_b 4.538
_cell_length_c 9.631
_cell_angle_alpha 90.00
_cell_angle_beta 90.00
_cell_angle_gamma 90.00
_space_group_name_H-M_alt 'C m m 2'
_space_group_IT_number 35
loop_
_space_group_symop_operation_xyz
'x,y,z'
'-x,-y,z'
'-x,y,z'
'x,-y,z'
'x+1/2,y+1/2,z'
'-x+1/2,-y+1/2,z'
'-x+1/2,y+1/2,z'
'x+1/2,-y+1/2,z'
loop_
_atom_site_label
_atom_site_type_symbol
_atom_site_fract_x
_atom_site_fract_y
_atom_site_fract_z
Li1 Li 0.000 0.000 0.000
Ta1 Ta 0.000 0.000 0.519
Ta2 Ta 0.000 0.500 0.267
Mo1 Mo 0.000 0.500 0.753
```

total DFT energy (no corrections) = -8.904 eV per atom
magnetic moment = 0.0000 μB/atom
calculated volume = 139.14 Å³/cell

9.
Material: LiTa2Mo
Method: DFT, PBE
State: optimized geometry

Cell and atoms, written as CIF:
```
data_LiTa2Mo
_chemical_formula_sum 'Li4 Ta8 Mo4'
_cell_length_a 6.408
_cell_length_b 6.408
_cell_length_c 6.408
_cell_angle_alpha 90.00
_cell_angle_beta 90.00
_cell_angle_gamma 90.00
_space_group_name_H-M_alt 'F m -3 m'
_space_group_IT_number 225
_space_group_name_Hall '-F 4 2 3'
loop_
_atom_site_label
_atom_site_type_symbol
_atom_site_fract_x
_atom_site_fract_y
_atom_site_fract_z
Li1 Li 0.000 0.000 0.000
Ta1 Ta 0.250 0.250 0.250
Mo1 Mo 0.000 0.000 0.500
```

total DFT energy (no corrections) = -8.931 eV per atom
magnetic moment = 0.0000 μB/atom
calculated volume = 263.16 Å³/cell

10.
Material: Li2TaMo
Method: DFT, PBE
State: optimized geometry

Cell and atoms, written as CIF:
```
data_Li2TaMo
_chemical_formula_sum 'Li2 Ta1 Mo1'
_cell_length_a 2.544
_cell_length_b 4.476
_cell_length_c 5.926
_cell_angle_alpha 90.00
_cell_angle_beta 102.06
_cell_angle_gamma 90.00
_space_group_name_H-M_alt 'P 1 m 1'
_space_group_IT_number 6
loop_
_space_group_symop_operation_xyz
'x,y,z'
'x,-y,z'
loop_
_atom_site_label
_atom_site_type_symbol
_atom_site_fract_x
_atom_site_fract_y
_atom_site_fract_z
Li1 Li 0.000 0.000 0.000
Li2 Li 0.108 0.500 0.223
Ta1 Ta 0.358 0.500 0.718
Mo1 Mo 0.745 0.000 0.495
```

total DFT energy (no corrections) = -6.252 eV per atom
magnetic moment = 0.0000 μB/atom
calculated volume = 65.98 Å³/cell

11.
Material: LiTa2Mo
Method: DFT, PBE
State: optimized geometry

Cell and atoms, written as CIF:
```
data_LiTa2Mo
_chemical_formula_sum 'Li1 Ta2 Mo1'
_cell_length_a 2.714
_cell_length_b 4.642
_cell_length_c 5.385
_cell_angle_alpha 90.00
_cell_angle_beta 99.21
_cell_angle_gamma 90.00
_space_group_name_H-M_alt 'P 1 m 1'
_space_group_IT_number 6
loop_
_space_group_symop_operation_xyz
'x,y,z'
'x,-y,z'
loop_
_atom_site_label
_atom_site_type_symbol
_atom_site_fract_x
_atom_site_fract_y
_atom_site_fract_z
Li1 Li 0.000 0.000 0.000
Ta1 Ta 0.246 0.500 0.749
Ta2 Ta 0.553 0.000 0.489
Mo1 Mo 0.797 0.500 0.258
```

total DFT energy (no corrections) = -8.847 eV per atom
magnetic moment = 0.0000 μB/atom
calculated volume = 66.97 Å³/cell

12.
Material: LiTa2Mo
Method: DFT, PBE
State: optimized geometry

Cell and atoms, written as CIF:
```
data_LiTa2Mo
_chemical_formula_sum 'Li1 Ta2 Mo1'
_cell_length_a 3.300
_cell_length_b 3.300
_cell_length_c 5.919
_cell_angle_alpha 90.00
_cell_angle_beta 90.00
_cell_angle_gamma 90.00
_space_group_name_H-M_alt 'P 4 m m'
_space_group_IT_number 99
loop_
_space_group_symop_operation_xyz
'x,y,z'
'-y,x,z'
'-x,-y,z'
'y,-x,z'
'-x,y,z'
'y,x,z'
'x,-y,z'
'-y,-x,z'
loop_
_atom_site_label
_atom_site_type_symbol
_atom_site_fract_x
_atom_site_fract_y
_atom_site_fract_z
Li1 Li 0.000 0.000 0.000
Ta1 Ta 0.000 0.000 0.477
Ta2 Ta 0.500 0.500 0.757
Mo1 Mo 0.500 0.500 0.227
```

total DFT energy (no corrections) = -8.807 eV per atom
magnetic moment = 0.0000 μB/atom
calculated volume = 64.46 Å³/cell

13.
Material: Li2TaMo
Method: DFT, PBE
State: optimized geometry

Cell and atoms, written as CIF:
```
data_Li2TaMo
_chemical_formula_sum 'Li8 Ta4 Mo4'
_cell_length_a 7.096
_cell_length_b 7.096
_cell_length_c 4.962
_cell_angle_alpha 90.00
_cell_angle_beta 90.00
_cell_angle_gamma 90.00
_space_group_name_H-M_alt 'I -4 2 d'
_space_group_IT_number 122
_space_group_name_Hall 'I -4 2bw'
loop_
_atom_site_label
_atom_site_type_symbol
_atom_site_fract_x
_atom_site_fract_y
_atom_site_fract_z
Li1 Li 0.241 0.250 0.125
Ta1 Ta 0.000 0.000 0.500
Mo1 Mo 0.000 0.000 0.000
```

total DFT energy (no corrections) = -5.749 eV per atom
magnetic moment = 0.0000 μB/atom
calculated volume = 249.89 Å³/cell

14.
Material: LiTa2Mo
Method: DFT, PBE
State: optimized geometry

Cell and atoms, written as CIF:
```
data_LiTa2Mo
_chemical_formula_sum 'Li1 Ta2 Mo1'
_cell_length_a 4.473
_cell_length_b 4.473
_cell_length_c 3.255
_cell_angle_alpha 90.00
_cell_angle_beta 90.00
_cell_angle_gamma 90.00
_space_group_name_H-M_alt 'P 4/m m m'
_space_group_IT_number 123
_space_group_name_Hall '-P 4 2'
loop_
_atom_site_label
_atom_site_type_symbol
_atom_site_fract_x
_atom_site_fract_y
_atom_site_fract_z
Li1 Li 0.000 0.000 0.000
Ta1 Ta 0.000 0.500 0.500
Mo1 Mo 0.500 0.500 0.000
```

total DFT energy (no corrections) = -8.923 eV per atom
magnetic moment = 0.0000 μB/atom
calculated volume = 65.12 Å³/cell

15.
Material: Li2TaMo
Method: DFT, PBE
State: optimized geometry

Cell and atoms, written as CIF:
```
data_Li2TaMo
_chemical_formula_sum 'Li4 Ta2 Mo2'
_cell_length_a 5.164
_cell_length_b 9.783
_cell_length_c 2.599
_cell_angle_alpha 90.00
_cell_angle_beta 90.00
_cell_angle_gamma 90.00
_space_group_name_H-M_alt 'C m m m'
_space_group_IT_number 65
_space_group_name_Hall '-C 2 2'
loop_
_atom_site_label
_atom_site_type_symbol
_atom_site_fract_x
_atom_site_fract_y
_atom_site_fract_z
Li1 Li 0.250 0.250 0.000
Ta1 Ta 0.000 0.000 0.500
Mo1 Mo 0.000 0.500 0.500
```

total DFT energy (no corrections) = -6.127 eV per atom
magnetic moment = 0.0000 μB/atom
calculated volume = 131.30 Å³/cell

16.
Material: Li2TaMo
Method: DFT, PBE
State: optimized geometry

Cell and atoms, written as CIF:
```
data_Li2TaMo
_chemical_formula_sum 'Li2 Ta1 Mo1'
_cell_length_a 3.015
_cell_length_b 4.290
_cell_length_c 5.082
_cell_angle_alpha 90.00
_cell_angle_beta 90.00
_cell_angle_gamma 90.00
_space_group_name_H-M_alt 'P m m m'
_space_group_IT_number 47
loop_
_space_group_symop_operation_xyz
'x,y,z'
'-x,-y,-z'
'-x,-y,z'
'x,y,-z'
'x,-y,-z'
'-x,y,z'
'-x,y,-z'
'x,-y,z'
loop_
_atom_site_label
_atom_site_type_symbol
_atom_site_fract_x
_atom_site_fract_y
_atom_site_fract_z
Li1 Li 0.000 0.000 0.000
Li2 Li 0.500 0.500 0.000
Ta1 Ta 0.000 0.500 0.500
Mo1 Mo 0.500 0.000 0.500
```

total DFT energy (no corrections) = -6.290 eV per atom
magnetic moment = 0.0000 μB/atom
calculated volume = 65.74 Å³/cell

17.
Material: Li2TaMo
Method: DFT, PBE
State: optimized geometry

Cell and atoms, written as CIF:
```
data_Li2TaMo
_chemical_formula_sum 'Li8 Ta4 Mo4'
_cell_length_a 6.103
_cell_length_b 6.103
_cell_length_c 6.103
_cell_angle_alpha 90.00
_cell_angle_beta 90.00
_cell_angle_gamma 90.00
_space_group_name_H-M_alt 'F m -3 m'
_space_group_IT_number 225
_space_group_name_Hall '-F 4 2 3'
loop_
_atom_site_label
_atom_site_type_symbol
_atom_site_fract_x
_atom_site_fract_y
_atom_site_fract_z
Li1 Li 0.250 0.250 0.250
Ta1 Ta 0.000 0.000 0.000
Mo1 Mo 0.000 0.000 0.500
```

total DFT energy (no corrections) = -5.872 eV per atom
magnetic moment = 0.0746 μB/atom
calculated volume = 227.29 Å³/cell

18.
Material: LiTa2Mo
Method: DFT, PBE
State: optimized geometry

Cell and atoms, written as CIF:
```
data_LiTa2Mo
_chemical_formula_sum 'Li1 Ta2 Mo1'
_cell_length_a 3.510
_cell_length_b 4.166
_cell_length_c 4.477
_cell_angle_alpha 90.00
_cell_angle_beta 90.00
_cell_angle_gamma 90.00
_space_group_name_H-M_alt 'P m m m'
_space_group_IT_number 47
loop_
_space_group_symop_operation_xyz
'x,y,z'
'-x,-y,-z'
'-x,-y,z'
'x,y,-z'
'x,-y,-z'
'-x,y,z'
'-x,y,-z'
'x,-y,z'
loop_
_atom_site_label
_atom_site_type_symbol
_atom_site_fract_x
_atom_site_fract_y
_atom_site_fract_z
Li1 Li 0.000 0.000 0.000
Ta1 Ta 0.000 0.500 0.500
Ta2 Ta 0.500 0.500 0.000
Mo1 Mo 0.500 0.000 0.500
```

total DFT energy (no corrections) = -8.780 eV per atom
magnetic moment = 0.0000 μB/atom
calculated volume = 65.46 Å³/cell

19.
Material: LiTaMo2
Method: DFT, PBE
State: optimized geometry

Cell and atoms, written as CIF:
```
data_LiTaMo2
_chemical_formula_sum 'Li1 Ta1 Mo2'
_cell_length_a 2.651
_cell_length_b 2.651
_cell_length_c 9.525
_cell_angle_alpha 90.00
_cell_angle_beta 90.00
_cell_angle_gamma 90.00
_space_group_name_H-M_alt 'P 4 m m'
_space_group_IT_number 99
loop_
_space_group_symop_operation_xyz
'x,y,z'
'-y,x,z'
'-x,-y,z'
'y,-x,z'
'-x,y,z'
'y,x,z'
'x,-y,z'
'-y,-x,z'
loop_
_atom_site_label
_atom_site_type_symbol
_atom_site_fract_x
_atom_site_fract_y
_atom_site_fract_z
Li1 Li 0.000 0.000 0.000
Ta1 Ta 0.500 0.500 0.737
Mo1 Mo 0.000 0.000 0.490
Mo2 Mo 0.500 0.500 0.246
```

total DFT energy (no corrections) = -8.467 eV per atom
magnetic moment = 0.0000 μB/atom
calculated volume = 66.94 Å³/cell

20.
Material: Li2TaMo
Method: DFT, PBE
State: optimized geometry

Cell and atoms, written as CIF:
```
data_Li2TaMo
_chemical_formula_sum 'Li2 Ta1 Mo1'
_cell_length_a 2.595
_cell_length_b 2.595
_cell_length_c 9.756
_cell_angle_alpha 90.00
_cell_angle_beta 90.00
_cell_angle_gamma 90.00
_space_group_name_H-M_alt 'P 4/m m m'
_space_group_IT_number 123
_space_group_name_Hall '-P 4 2'
loop_
_atom_site_label
_atom_site_type_symbol
_atom_site_fract_x
_atom_site_fract_y
_atom_site_fract_z
Li1 Li 0.000 0.000 0.242
Ta1 Ta 0.500 0.500 0.500
Mo1 Mo 0.500 0.500 0.000
```

total DFT energy (no corrections) = -6.102 eV per atom
magnetic moment = 0.0000 μB/atom
calculated volume = 65.72 Å³/cell